Here is crystalline PrErTm2Cu4 at its relaxed geometry from Alexandria via LeMat-Bulk. Energies are from PBE-GGA.

Lattice parameters (Å, degrees): 4.8965 4.8965 8.5817 73.42 73.42 60.00
Atoms (fractional coordinates):
Tm (0.7525, 0.7525, 0.7426)
Tm (0.2475, 0.2475, 0.2574)
Cu (0.1269, 0.1269, 0.6194)
Cu (0.8731, 0.8731, 0.3806)
Cu (0.6189, 0.6189, 0.1433)
Cu (0.3811, 0.3811, 0.8567)
Er (0.5000, 0.5000, 0.5000)
Pr (0.0000, 0.0000, 0.0000)

energy of formation from the pure elements: -23 kJ/mol of atoms